No. 1
! ZrMnCl PBE optimized geometry; values from VASP
! DOS(E_F): 0.9 states/eV/f.u.
! Formation energy from raw total energies: -0.3458 eV per atom
! Magnetization: 4.02 μB per formula unit
&SYSTEM
  ibrav = 0, nat = 3, ntyp = 3
/
ATOMIC_SPECIES
Zr 91.22 Zr.upf
Mn 54.94 Mn.upf
Cl 35.45 Cl.upf
ATOMIC_POSITIONS crystal
Zr 0.000 0.000 0.000
Mn 0.333 0.667 0.688
Cl 0.667 0.333 0.269
CELL_PARAMETERS angstrom
3.265 0.000 0.000
-1.632 2.827 0.000
0.000 0.000 6.934

No. 2
! Rb2TaRuPb PBE optimized geometry; values from VASP
! DOS(E_F): 4.8 states/eV/f.u.
! DFT formation energy: 46.4 kcal/mol of atoms
! Magnetization: 5.18 μB per formula unit
&SYSTEM
  ibrav = 0, nat = 5, ntyp = 4
/
ATOMIC_SPECIES
Rb 85.47 Rb.upf
Ta 180.95 Ta.upf
Ru 101.07 Ru.upf
Pb 207.20 Pb.upf
ATOMIC_POSITIONS crystal
Rb 0.000 0.500 0.000
Rb 0.500 0.000 0.000
Ta 0.000 0.000 0.500
Ru 0.500 0.500 0.500
Pb 0.000 0.000 0.000
CELL_PARAMETERS angstrom
6.923 0.000 0.000
0.000 6.923 0.000
0.000 0.000 5.448

No. 3
! Pu3TaO7 PBE optimized geometry; values from VASP
! DOS(E_F): 16.1 states/eV/f.u.
! Formation energy from raw total energies: -3.0141 eV per atom
! Magnetization: 15.00 μB per formula unit
&SYSTEM
  ibrav = 0, nat = 22, ntyp = 3
/
ATOMIC_SPECIES
Pu 244.00 Pu.upf
Ta 180.95 Ta.upf
O 16.00 O.upf
ATOMIC_POSITIONS crystal
Pu 0.000 0.000 0.000
Pu 0.000 0.000 0.500
Pu 0.030 0.499 0.750
Pu 0.499 0.030 0.250
Pu 0.501 0.970 0.750
Pu 0.970 0.501 0.250
Ta 0.500 0.500 0.000
Ta 0.500 0.500 0.500
O 0.131 0.869 0.250
O 0.135 0.865 0.750
O 0.179 0.428 0.029
O 0.179 0.428 0.471
O 0.428 0.179 0.529
O 0.428 0.179 0.971
O 0.444 0.556 0.750
O 0.556 0.444 0.250
O 0.572 0.821 0.029
O 0.572 0.821 0.471
O 0.821 0.572 0.529
O 0.821 0.572 0.971
O 0.865 0.135 0.250
O 0.869 0.131 0.750
CELL_PARAMETERS angstrom
3.770 -5.387 0.000
3.770 5.387 0.000
0.000 0.000 7.687

Which formula does entry 1 have?
ZrMnCl